Record 1
Compound: Be2FeW
Source: Alexandria
Functional: GGA-PBE
Structure: optimized geometry

Summary:
E_form = 0.18 eV per atom
N(E_F) = 2.34 states/eV/f.u.
energy above the lowest structure with this stoichiometry = 0.226 eV/atom

Lattice parameters (Å, degrees): 4.5826 4.5826 4.1111 115.05 115.05 35.52
Element x y z (fractional)
Be: 0.2332 0.2332 0.2277
Be: 0.7668 0.7668 0.7723
Fe: 0.5000 0.5000 0.0000
W: 0.0000 0.0000 0.5000

=====

Record 2
Compound: Be2FeW
Source: Alexandria
Functional: GGA-PBE
Structure: optimized geometry

Summary:
E_form = 0.00 eV per atom
N(E_F) = 2.51 states/eV/f.u.
energy above the lowest structure with this stoichiometry = 0.047 eV/atom

Lattice parameters (Å, degrees): 3.4738 4.6114 4.6114 34.71 90.00 90.00
Element x y z (fractional)
Be: 0.0000 0.0000 0.0000
Be: 0.5000 0.1229 0.1229
Fe: 0.0000 0.7165 0.7165
W: 0.5000 0.3878 0.3878

=====

Record 3
Compound: Be2FeW
Source: Alexandria
Functional: GGA-PBE
Structure: optimized geometry

Summary:
E_form = 0.03 eV per atom
N(E_F) = 1.46 states/eV/f.u.
energy above the lowest structure with this stoichiometry = 0.075 eV/atom

Lattice parameters (Å, degrees): 2.7927 2.7927 5.5995 90.00 90.00 90.00
Element x y z (fractional)
Be: 0.0000 0.0000 0.0000
Be: 0.5000 0.5000 0.2031
Fe: 0.0000 0.0000 0.4266
W: 0.5000 0.5000 0.6913

=====

Record 4
Compound: BeZnFeW
Source: Alexandria
Functional: GGA-PBE
Structure: optimized geometry

Summary:
E_form = 0.07 eV per atom

Lattice parameters (Å, degrees): 4.0779 4.0779 4.0779 60.00 60.00 60.00
Element x y z (fractional)
Be: 0.0000 0.0000 0.0000
Zn: 0.7500 0.7500 0.7500
Fe: 0.5000 0.5000 0.5000
W: 0.2500 0.2500 0.2500

=====

Record 5
Compound: Zr2Be2Fe5W
Source: Alexandria
Functional: GGA-PBE
Structure: optimized geometry

Summary:
E_form = -0.17 eV per atom
N(E_F) = 10.48 states/eV/f.u.

Lattice parameters (Å, degrees): 8.9979 8.9979 3.0796 90.00 90.00 90.00
Element x y z (fractional)
Zr: 0.1742 0.3258 0.0000
Zr: 0.3258 0.8258 0.0000
Zr: 0.6742 0.1742 0.0000
Zr: 0.8258 0.6742 0.0000
Be: 0.1199 0.6199 0.0000
Be: 0.3801 0.1199 0.0000
Be: 0.6199 0.8801 0.0000
Be: 0.8801 0.3801 0.0000
Fe: 0.0000 0.5000 0.5000
Fe: 0.0670 0.7892 0.5000
Fe: 0.2108 0.0670 0.5000
Fe: 0.2892 0.5670 0.5000
Fe: 0.4330 0.2892 0.5000
Fe: 0.5000 0.0000 0.5000
Fe: 0.5670 0.7108 0.5000
Fe: 0.7108 0.4330 0.5000
Fe: 0.7892 0.9330 0.5000
Fe: 0.9330 0.2108 0.5000
W: 0.0000 0.0000 0.0000
W: 0.5000 0.5000 0.0000

=====

Record 6
Compound: YBe2Fe
Source: Alexandria
Functional: GGA-PBE
Structure: optimized geometry

Summary:
E_form = 0.49 eV per atom
N(E_F) = 2.72 states/eV/f.u.
energy above the lowest structure with this stoichiometry = 0.520 eV/atom

Lattice parameters (Å, degrees): 4.4885 4.4885 2.9505 90.00 90.00 105.94
Element x y z (fractional)
Y: 0.0000 0.0000 0.0000
Be: 0.0000 0.5000 0.5000
Be: 0.5000 0.0000 0.5000
Fe: 0.5000 0.5000 0.0000

=====

Record 7
Compound: YBe2Fe
Source: Alexandria
Functional: GGA-PBE
Structure: optimized geometry

Summary:
E_form = 0.09 eV per atom
N(E_F) = 2.67 states/eV/f.u.
energy above the lowest structure with this stoichiometry = 0.123 eV/atom

Lattice parameters (Å, degrees): 2.9793 3.0170 6.1045 90.00 90.00 90.00
Element x y z (fractional)
Y: 0.0000 0.0000 0.0000
Be: 0.5000 0.5000 0.3311
Be: 0.5000 0.5000 0.6689
Fe: 0.0000 0.0000 0.5000

=====

Record 8
Compound: YBe2Fe
Source: Alexandria
Functional: GGA-PBE
Structure: optimized geometry

Summary:
E_form = 0.14 eV per atom
N(E_F) = 3.71 states/eV/f.u.
energy above the lowest structure with this stoichiometry = 0.175 eV/atom

Lattice parameters (Å, degrees): 3.4717 5.5384 5.5384 33.06 90.00 90.00
Element x y z (fractional)
Y: 0.0000 0.0000 0.0000
Be: 0.0000 0.7452 0.7452
Be: 0.5000 0.6445 0.6445
Fe: 0.5000 0.2913 0.2913

=====

Record 9
Compound: YBe2Fe10
Source: Alexandria
Functional: GGA-PBE
Structure: optimized geometry

Summary:
E_form = -0.05 eV per atom
N(E_F) = 14.64 states/eV/f.u.

Lattice parameters (Å, degrees): 6.2490 6.2490 8.0580 90.00 90.00 97.15
Element x y z (fractional)
Y: 0.1206 0.8794 0.7500
Y: 0.8794 0.1206 0.2500
Be: 0.0000 0.5000 0.0000
Be: 0.0000 0.5000 0.5000
Be: 0.5000 0.0000 0.0000
Be: 0.5000 0.0000 0.5000
Fe: 0.1239 0.3892 0.7500
Fe: 0.1633 0.8367 0.0997
Fe: 0.1633 0.8367 0.4003
Fe: 0.2342 0.2342 0.0000
Fe: 0.2342 0.2342 0.5000
Fe: 0.2384 0.4796 0.2500
Fe: 0.3892 0.1239 0.2500
Fe: 0.3914 0.6086 0.5780
Fe: 0.3914 0.6086 0.9220
Fe: 0.4796 0.2384 0.7500
Fe: 0.5204 0.7616 0.2500
Fe: 0.6086 0.3914 0.0780
Fe: 0.6086 0.3914 0.4220
Fe: 0.6108 0.8761 0.7500
Fe: 0.7616 0.5204 0.7500
Fe: 0.7658 0.7658 0.0000
Fe: 0.7658 0.7658 0.5000
Fe: 0.8367 0.1633 0.5997
Fe: 0.8367 0.1633 0.9003
Fe: 0.8761 0.6108 0.2500

=====

Record 10
Compound: YBeFe3
Source: Alexandria
Functional: GGA-PBE
Structure: optimized geometry

Summary:
E_form = 0.26 eV per atom
N(E_F) = 4.11 states/eV/f.u.
energy above the lowest structure with this stoichiometry = 0.000 eV/atom

Lattice parameters (Å, degrees): 4.1249 4.1249 4.1249 90.00 90.00 90.00
Element x y z (fractional)
Y: 0.0000 0.0000 0.0000
Be: 0.5000 0.5000 0.5000
Fe: 0.0000 0.5000 0.5000
Fe: 0.5000 0.0000 0.5000
Fe: 0.5000 0.5000 0.0000

=====

Record 11
Compound: YBe2Fe
Source: Alexandria
Functional: GGA-PBE
Structure: optimized geometry

Summary:
E_form = -0.03 eV per atom
N(E_F) = 3.22 states/eV/f.u.
energy above the lowest structure with this stoichiometry = 0.000 eV/atom

Lattice parameters (Å, degrees): 5.2937 5.2937 5.2937 41.21 41.21 41.21
Element x y z (fractional)
Y: 0.0000 0.0000 0.0000
Be: 0.4968 0.4968 0.4968
Be: 0.8113 0.8113 0.8113
Fe: 0.1967 0.1967 0.1967

=====

Record 12
Compound: YBe17Fe
Source: Alexandria
Functional: GGA-PBE
Structure: optimized geometry

Summary:
E_form = -0.05 eV per atom
N(E_F) = 4.52 states/eV/f.u.

Lattice parameters (Å, degrees): 5.6457 5.6457 5.6457 83.01 83.01 83.01
Element x y z (fractional)
Y: 0.0000 0.0000 0.0000
Be: 0.0073 0.0073 0.4951
Be: 0.0073 0.4951 0.0073
Be: 0.1546 0.6626 0.6626
Be: 0.3189 0.3189 0.7918
Be: 0.3189 0.7918 0.3189
Be: 0.3694 0.6498 0.9560
Be: 0.3694 0.9560 0.6498
Be: 0.4951 0.0073 0.0073
Be: 0.5575 0.5575 0.5575
Be: 0.6498 0.3694 0.9560
Be: 0.6498 0.9560 0.3694
Be: 0.6626 0.1546 0.6626
Be: 0.6626 0.6626 0.1546
Be: 0.7512 0.7512 0.7512
Be: 0.7918 0.3189 0.3189
Be: 0.9560 0.3694 0.6498
Be: 0.9560 0.6498 0.3694
Fe: 0.3403 0.3403 0.3403